No. 1
This record from the Alexandria database describes an optimized crystal structure of Ba4SN. The functional is PBE.

- magnetic moment (μB per cell) = 0.0

a = 4.235 Å, b = 9.099 Å, c = 7.607 Å
α = 119.19°, β = 90.00°, γ = 103.46°
Element x y z (fractional)
Ba  0.397  0.793  0.026
Ba  0.110  0.219  0.424
Ba  0.603  0.207  0.974
Ba  0.890  0.781  0.576
S  0.500  0.000  0.500
N  0.000  0.000  0.000



No. 2
This record from the Alexandria database describes an optimized crystal structure of Ba2SN4. The functional is PBE.

- magnetic moment (μB per cell) = 0.0

a = 4.132 Å, b = 4.132 Å, c = 7.075 Å
α = 73.02°, β = 73.02°, γ = 90.00°
Element x y z (fractional)
S  0.000  0.000  0.000
Ba  0.641  0.641  0.719
Ba  0.359  0.359  0.281
N  0.874  0.874  0.252
N  0.126  0.126  0.748
N  0.000  0.500  0.000
N  0.500  0.000  0.000



No. 3
This record from the Alexandria database describes an optimized crystal structure of BaSN4. The functional is PBE.

- magnetic moment (μB per cell) = 0.0

a = 8.971 Å, b = 8.971 Å, c = 5.971 Å
α = 90.00°, β = 90.00°, γ = 138.38°
Element x y z (fractional)
Ba  0.262  0.738  0.250
Ba  0.738  0.262  0.750
S  0.784  0.216  0.250
S  0.216  0.784  0.750
N  0.242  0.309  0.750
N  0.125  0.318  0.750
N  0.309  0.242  0.250
N  0.318  0.125  0.250
N  0.758  0.691  0.250
N  0.691  0.758  0.750
N  0.875  0.682  0.250
N  0.682  0.875  0.750



No. 4
This record from the Alexandria database describes an optimized crystal structure of BaSN. The functional is PBE.

- magnetic moment (μB per cell) = 0.0
- energy above the most stable polymorph in this dataset (eV per atom) = 0.000

a = 4.488 Å, b = 4.488 Å, c = 10.457 Å
α = 92.82°, β = 92.82°, γ = 89.98°
Element x y z (fractional)
N  0.955  0.955  0.452
N  0.045  0.045  0.548
S  0.733  0.733  0.849
S  0.267  0.267  0.151
Ba  0.233  0.233  0.850
Ba  0.767  0.767  0.150



No. 5
This record from the Alexandria database describes an optimized crystal structure of Ba6Sb2SN. The functional is PBE.

- magnetic moment (μB per cell) = 0.0

a = 8.154 Å, b = 8.155 Å, c = 11.518 Å
α = 90.00°, β = 90.00°, γ = 90.00°
Element x y z (fractional)
Ba  0.500  0.250  0.263
Ba  0.500  0.250  0.737
Ba  0.000  0.750  0.237
Ba  0.000  0.750  0.763
Ba  0.262  0.014  0.500
Ba  0.738  0.014  0.500
Ba  0.263  0.488  0.500
Ba  0.737  0.488  0.500
Ba  0.763  0.512  0.000
Ba  0.237  0.512  0.000
Ba  0.238  0.986  0.000
Ba  0.762  0.986  0.000
Sb  0.500  0.750  0.250
Sb  0.000  0.250  0.750
Sb  0.500  0.750  0.750
Sb  0.000  0.250  0.250
S  0.000  0.750  0.500
S  0.500  0.250  0.000
N  0.500  0.250  0.500
N  0.000  0.750  0.000



No. 6
This record from the Alexandria database describes an optimized crystal structure of BaSeSN2. The functional is PBE.

- magnetic moment (μB per cell) = 5.6
- energy above the most stable polymorph in this dataset (eV per atom) = 1.171

a = 5.124 Å, b = 5.124 Å, c = 6.327 Å
α = 90.00°, β = 90.00°, γ = 90.00°
Site moments in Bohr magnetons follow the coordinates.
Element x y z (fractional)
S  0.000  0.000  0.500  0.05
Ba  0.000  0.000  0.000  0.10
Se  0.500  0.500  0.500  0.46
N  0.000  0.500  0.000  1.52
N  0.500  0.000  0.000  1.52



No. 7
This record from the Alexandria database describes an optimized crystal structure of BaSeS2N. The functional is PBE.

- magnetic moment (μB per cell) = 7.0
- energy above the most stable polymorph in this dataset (eV per atom) = 1.276

a = 6.112 Å, b = 6.112 Å, c = 5.368 Å
α = 90.00°, β = 90.00°, γ = 90.00°
Site moments in Bohr magnetons follow the coordinates.
Element x y z (fractional)
S  0.000  0.500  0.000  0.75
S  0.500  0.000  0.000  0.75
Ba  0.000  0.000  0.000  0.04
Se  0.500  0.500  0.500  1.23
N  0.000  0.000  0.500  1.55



No. 8
This record from the Alexandria database describes an optimized crystal structure of BaSeSN2. The functional is PBE.

- magnetic moment (μB per cell) = 1.9
- energy above the most stable polymorph in this dataset (eV per atom) = 0.000

a = 4.279 Å, b = 4.279 Å, c = 4.979 Å
α = 90.00°, β = 90.00°, γ = 90.00°
Site moments in Bohr magnetons follow the coordinates.
Element x y z (fractional)
S  0.000  0.000  0.500  0.07
Ba  0.500  0.500  0.500  0.00
Se  0.000  0.000  0.000  -0.04
N  0.000  0.500  0.000  0.64
N  0.500  0.000  0.000  0.64



| no. | uncorrected formation energy (meV per atom) | ρ (g/cm3) |
| --- | --- | --- |
| 1 | -805 | 4.009 |
| 2 | 504 | 5.475 |
| 3 | -545 | 2.346 |
| 4 | -1285 | 2.899 |
| 5 | -976 | 4.829 |
| 6 | 1773 | 2.763 |
| 7 | 1228 | 2.438 |
| 8 | 601 | 5.033 |